1.
Li4CaDy: optimized geometry, PBE.

Computed properties:
symmetry = F-43m, No. 216
density = 2.50 g cm⁻³

Cell lengths 6.0023, 6.0023, 6.0023 Å; angles 60.00, 60.00, 60.00 degrees
With the nearest neighbours (Å) after each atom.
Element x y z (fractional)
Li: 0.6253 0.6253 0.6253  6 Li 2.99-3.01
Li: 0.6253 0.6253 0.1242  6 Li 2.99-3.01
Li: 0.6253 0.1242 0.6253  6 Li 2.99-3.01
Li: 0.1242 0.6253 0.6253  6 Li 2.99-3.01
Dy: 0.0000 0.0000 0.0000  12 Li 3.52, 4 Ca 3.68
Ca: 0.2500 0.2500 0.2500  12 Li 3.52, 4 Dy 3.68

2.
BaIr2Au: optimized geometry, PBE.

Computed properties:
symmetry = C2/m, No. 12
density = 11.44 g cm⁻³
relative energy among the computed polymorphs = 56 meV/atom

Cell lengths 4.6140, 4.6140, 6.2646 Å; angles 68.19, 68.19, 60.00 degrees
With the nearest neighbours (Å) after each atom.
Element x y z (fractional)
Ir: 0.4263 0.4263 0.7212  3 Au 2.67, 3 Ir 2.68
Ir: 0.0737 0.0737 0.7788  3 Au 2.67, 3 Ir 2.68
Au: 0.7500 0.7500 0.7500  6 Ir 2.67
Ba: 0.2500 0.2500 0.2500  2 Ir 2.99

3.
K2Cr2Pt: optimized geometry, PBE.

Computed properties:
symmetry = I4/mmm, No. 139
density = 5.71 g cm⁻³
relative energy among the computed polymorphs = 519 meV/atom

Cell lengths 3.9117, 3.9117, 7.6837 Å; angles 75.25, 75.25, 90.00 degrees
With the nearest neighbours (Å) after each atom.
Element x y z (fractional)
K: 0.7500 0.2500 0.5000  4 K 2.77
K: 0.2500 0.7500 0.5000  4 K 2.77
Pt: 0.0000 0.0000 0.0000  8 Cr 2.90
Cr: 0.4394 0.4394 0.1211  1 Cr 1.74
Cr: 0.5606 0.5606 0.8789  1 Cr 1.74

4.
Ca2TbNd: optimized geometry, PBE.

Computed properties:
symmetry = R-3m, No. 166
density = 4.28 g cm⁻³
relative energy among the computed polymorphs = 191 meV/atom

Cell lengths 3.5975, 3.5975, 13.4219 Å; angles 82.30, 82.30, 60.00 degrees
With the nearest neighbours (Å) after each atom.
Element x y z (fractional)
Nd: 0.5000 0.5000 0.5000  6 Nd 3.60, 6 Ca 3.78
Tb: 0.0000 0.0000 0.0000  2 Ca 3.47, 6 Tb 3.60
Ca: 0.9128 0.9128 0.2616  1 Tb 3.47, 6 Ca 3.60, 3 Nd 3.78
Ca: 0.0872 0.0872 0.7384  1 Tb 3.47, 6 Ca 3.60, 3 Nd 3.78

For each record above, in turn, the calculated M_tot values are 0.000 0.145 0.000 0.154 μB per atom.
For each record above, in turn, the calculated calculated formation energy values are 0.090 -0.085 1.222 0.235 eV/atom.